# InFe2Sb2, relaxed, DFT PBE
data_InFe2Sb2
_chemical_formula_sum 'In2 Fe4 Sb4'
_cell_length_a 7.531
_cell_length_b 7.531
_cell_length_c 3.131
_cell_angle_alpha 90.00
_cell_angle_beta 90.00
_cell_angle_gamma 90.00
_space_group_name_H-M_alt 'P 4/m b m'
_space_group_IT_number 127
_space_group_name_Hall '-P 4 2ab'
loop_
_atom_site_label
_atom_site_type_symbol
_atom_site_fract_x
_atom_site_fract_y
_atom_site_fract_z
In1 In 0.000 0.000 0.000
Fe1 Fe 0.138 0.362 0.000
Sb1 Sb 0.152 0.652 0.500
# E_form (uncorrected)   1.80 eV per formula unit
# Offset from the most stable computed form   0.000 eV per atom
# Density   8.79 g cm⁻³
# Crystal system   tetragonal
# D(E_F)   12.5 states/eV per cell



# Dy2Si4Ni3, relaxed, DFT PBE
data_Dy2Si4Ni3
_chemical_formula_sum 'Dy8 Si16 Ni12'
_cell_length_a 5.360
_cell_length_b 14.260
_cell_length_c 7.081
_cell_angle_alpha 90.00
_cell_angle_beta 90.00
_cell_angle_gamma 90.00
_space_group_name_H-M_alt 'C m c e'
_space_group_IT_number 64
_space_group_name_Hall '-C 2ac 2'
loop_
_atom_site_label
_atom_site_type_symbol
_atom_site_fract_x
_atom_site_fract_y
_atom_site_fract_z
Dy1 Dy 0.000 0.107 0.098
Si1 Si 0.000 0.182 0.484
Si2 Si 0.250 0.064 0.750
Ni1 Ni 0.000 0.000 0.500
Ni2 Ni 0.250 0.228 0.750
# E_form (uncorrected)   -6.48 eV per formula unit
# Density   7.53 g cm⁻³
# Crystal system   orthorhombic
# D(E_F)   18.4 states/eV per cell



# Cs2InTeO6, relaxed, DFT PBE
data_Cs2InTeO6
_chemical_formula_sum 'Cs2 In1 Te1 O6'
_cell_length_a 6.7572
_cell_length_b 6.7572
_cell_length_c 5.7000
_cell_angle_alpha 90.00
_cell_angle_beta 90.00
_cell_angle_gamma 120.00
_space_group_name_H-M_alt 'P -3 m 1'
_space_group_IT_number 164
_space_group_name_Hall '-P 3 2"'
loop_
_atom_site_label
_atom_site_type_symbol
_atom_site_fract_x
_atom_site_fract_y
_atom_site_fract_z
Cs1 Cs 0.3333 0.6667 0.1773
In1 In 0.0000 0.0000 0.5000
Te1 Te 0.0000 0.0000 0.0000
O1 O 0.1313 0.2626 0.7848
# E_form (uncorrected)   -12.52 eV per formula unit
# Density   4.45 g cm⁻³
# Crystal system   trigonal
# D(E_F)   3.9 states/eV per cell



# NpMoW, relaxed, DFT PBE
data_NpMoW
_chemical_formula_sum 'Np4 Mo4 W4'
_cell_length_a 5.683
_cell_length_b 13.481
_cell_length_c 2.981
_cell_angle_alpha 90.00
_cell_angle_beta 90.00
_cell_angle_gamma 90.00
_space_group_name_H-M_alt 'P n n m'
_space_group_IT_number 58
_space_group_name_Hall '-P 2 2n'
loop_
_atom_site_label
_atom_site_type_symbol
_atom_site_fract_x
_atom_site_fract_y
_atom_site_fract_z
Np1 Np 0.005 0.181 0.000
Mo1 Mo 0.240 0.001 0.000
W1 W 0.007 0.370 0.000
# Offset from the most stable computed form   0.341 eV per atom
# Density   15.03 g cm⁻³
# Crystal system   orthorhombic
# D(E_F)   26.0 states/eV per cell



# Ge2CSe, relaxed, DFT PBE
data_Ge2CSe
_chemical_formula_sum 'Ge8 C4 Se4'
_cell_length_a 6.412
_cell_length_b 6.412
_cell_length_c 6.412
_cell_angle_alpha 90.00
_cell_angle_beta 90.00
_cell_angle_gamma 90.00
_space_group_name_H-M_alt 'F m -3 m'
_space_group_IT_number 225
_space_group_name_Hall '-F 4 2 3'
loop_
_atom_site_label
_atom_site_type_symbol
_atom_site_fract_x
_atom_site_fract_y
_atom_site_fract_z
Ge1 Ge 0.250 0.250 0.250
C1 C 0.000 0.000 0.000
Se1 Se 0.000 0.000 0.500
# E_form (uncorrected)   5.64 eV per formula unit
# Offset from the most stable computed form   0.840 eV per atom
# Density   5.95 g cm⁻³
# Crystal system   cubic
# D(E_F)   8.4 states/eV per cell



# Cs4Th3NpTe8, relaxed, DFT PBE
data_Cs4Th3NpTe8
_chemical_formula_sum 'Cs12 Th9 Np3 Te24'
_cell_length_a 9.1266
_cell_length_b 9.1266
_cell_length_c 27.2641
_cell_angle_alpha 90.00
_cell_angle_beta 90.00
_cell_angle_gamma 120.00
_space_group_name_H-M_alt 'R -3 m'
_space_group_IT_number 166
_space_group_name_Hall '-R 3 2"'
loop_
_atom_site_label
_atom_site_type_symbol
_atom_site_fract_x
_atom_site_fract_y
_atom_site_fract_z
Cs1 Cs 0.0000 0.0000 0.0000
Cs2 Cs 0.0000 0.5000 0.0000
Th1 Th 0.0000 0.5000 0.5000
Np1 Np 0.0000 0.0000 0.5000
Te1 Te 0.0000 0.0000 0.2332
Te2 Te 0.0008 0.5004 0.7675
# E_form (uncorrected)   -17.65 eV per formula unit
# Density   6.30 g cm⁻³
# Crystal system   trigonal
# D(E_F)   54.2 states/eV per cell



# CsNaAg2Se2, relaxed, DFT PBE
data_CsNaAg2Se2
_chemical_formula_sum 'Cs1 Na1 Ag2 Se2'
_cell_length_a 4.6028
_cell_length_b 4.6028
_cell_length_c 9.1039
_cell_angle_alpha 90.00
_cell_angle_beta 90.00
_cell_angle_gamma 120.00
_space_group_name_H-M_alt 'P -3 m 1'
_space_group_IT_number 164
_space_group_name_Hall '-P 3 2"'
loop_
_atom_site_label
_atom_site_type_symbol
_atom_site_fract_x
_atom_site_fract_y
_atom_site_fract_z
Cs1 Cs 0.0000 0.0000 0.0000
Na1 Na 0.0000 0.0000 0.5000
Ag1 Ag 0.3333 0.6667 0.3163
Se1 Se 0.3333 0.6667 0.7072
# E_form (uncorrected)   -3.89 eV per formula unit
# Density   5.26 g cm⁻³
# Crystal system   trigonal
# D(E_F)   0.3 states/eV per cell



# NaLi3S, relaxed, DFT PBE
data_NaLi3S
_chemical_formula_sum 'Na1 Li3 S1'
_cell_length_a 4.800
_cell_length_b 4.800
_cell_length_c 4.800
_cell_angle_alpha 90.00
_cell_angle_beta 90.00
_cell_angle_gamma 90.00
_space_group_name_H-M_alt 'P m -3 m'
_space_group_IT_number 221
_space_group_name_Hall '-P 4 2 3'
loop_
_atom_site_label
_atom_site_type_symbol
_atom_site_fract_x
_atom_site_fract_y
_atom_site_fract_z
Na1 Na 0.000 0.000 0.000
Li1 Li 0.000 0.500 0.500
S1 S 0.500 0.500 0.500
# E_form (uncorrected)   -3.05 eV per formula unit
# Offset from the most stable computed form   0.000 eV per atom
# Density   1.14 g cm⁻³
# Crystal system   cubic
# D(E_F)   0.2 states/eV per cell



Look up the density of the fourth one.
15.03 g cm⁻³



Among the records above, which one has the highest D(E_F)?
Cs4Th3NpTe8